A plane-wave DFT calculation with GGA-PBE was carried out for an optimized crystal structure of Pr2Dy6Er3Pb.

The structure belongs to space group C2/m (No. 12); the cell edges are 6.102, 10.572 and 11.777 Å and the angles 90.00°, 99.97° and 90.00°. The distinct sites, in fractional coordinates, are Pr at (0.000, 0.166, 0.000), Dy at (0.243, 0.500, 0.746), Dy at (0.247, 0.337, 0.253), Er at (0.000, 0.000, 0.500), Er at (0.000, 0.333, 0.500) and Pb at (0.000, 0.500, 0.000).

For the formation enthalpy at 0 K, the calculation gives -6.4 kJ per mole of atoms. For the uncorrected energy, the calculation gives -4.6135 eV/atom.